Compound: TbDy4Y6
Source: Alexandria
Functional: GGA-PBE
Structure: relaxed

Lattice parameters (Å, degrees): 5.6109 5.6109 25.7352 90.00 90.00 118.99
Closest atoms and distances in Å follow each position.
Sites, in units of the cell vectors:
Tb  0.1793  0.8207  0.7500  3 Y 3.23-3.27
Tb  0.8207  0.1793  0.2500  3 Y 3.23-3.27
Dy  0.1601  0.8399  0.0422  8 Y 3.42-3.76, 2 Dy 3.69-3.78
Dy  0.1601  0.8399  0.4578  8 Y 3.42-3.76, 2 Dy 3.69-3.78
Dy  0.4789  0.5211  0.1210  5 Y 3.12-3.32
Dy  0.4789  0.5211  0.3790  5 Y 3.12-3.32
Dy  0.5211  0.4789  0.6210  5 Y 3.12-3.32
Dy  0.5211  0.4789  0.8790  5 Y 3.12-3.32
Dy  0.8399  0.1601  0.5422  8 Y 3.42-3.76, 2 Dy 3.69-3.78
Dy  0.8399  0.1601  0.9578  8 Y 3.42-3.76, 2 Dy 3.69-3.78
Y  0.1504  0.8496  0.1813  7 Y 3.53-3.83, 4 Dy 3.53-3.64, 3 Tb 3.65-3.73
Y  0.1504  0.8496  0.3187  7 Y 3.53-3.83, 4 Dy 3.53-3.64, 3 Tb 3.65-3.73
Y  0.1835  0.8165  0.6037  5 Dy 3.28-3.59
Y  0.1835  0.8165  0.8963  5 Dy 3.28-3.59
Y  0.4868  0.5132  0.2500  3 Tb 3.23-3.27, 2 Dy 3.32
Y  0.5000  0.5000  0.0000  8 Dy 3.12-3.46
Y  0.5000  0.5000  0.5000  8 Dy 3.12-3.46
Y  0.5132  0.4868  0.7500  3 Tb 3.23-3.27, 2 Dy 3.32
Y  0.8165  0.1835  0.1037  5 Dy 3.28-3.59
Y  0.8165  0.1835  0.3963  5 Dy 3.28-3.59
Y  0.8496  0.1504  0.6813  7 Y 3.53-3.83, 4 Dy 3.53-3.64, 3 Tb 3.65-3.73
Y  0.8496  0.1504  0.8187  7 Y 3.53-3.83, 4 Dy 3.53-3.64, 3 Tb 3.65-3.73

## Properties
**Distance to the lowest polymorph of the same formula**: 0.0 meV per atom
**Formation enthalpy at 0 K**: 0.12 eV/atom
**Total magnetic moment**: 0.000 μB per atom